11
Lattice="3.9316 0.0000 0.8432 1.0312 8.3908 4.7794 -0.0265 -0.0544 9.7113" Properties=species:S:1:pos:R:3 comment="Sm7Te2Pd2 (GGA-PBE, optimized geometry)" spacegroup="No. 44" formation_energy_uncorrected_kj_per_mol_atoms=-79.0 energy_ev_per_cell=-58.7 magmom_total_mub_per_cell=0.000 pbc="T T T"
Sm 3.2960 0.6714 3.8069
Sm 3.7597 3.3301 11.2327
Sm 1.9612 0.1199 10.0311
Sm 2.9522 3.9918 5.4103
Sm 2.2062 6.1166 8.8888
Sm 1.4301 5.9861 12.5074
Sm 0.6674 0.9397 6.4761
Te 0.7750 6.3451 5.9741
Te 2.3166 2.9580 8.3737
Pd 3.7655 7.1569 11.2058
Pd 1.3712 2.7783 3.1944